12
Lattice="-2.226 -1.612 -4.202 2.677 -4.192 0.529 -4.676 -2.566 3.481" Properties=species:S:1:pos:R:3 comment="Na2NiGeF8, optimized geometry, DFT PBE with a Hubbard U" final_energy_ev_per_atom=-4.565 pbc="T T T"
F 0.340 -4.282 -2.699
F -1.846 -5.756 2.459
F -4.565 -4.089 2.507
F 0.827 -4.288 0.469
F -5.052 -4.082 -0.660
F -2.219 -2.876 0.726
F -2.005 -5.494 -0.917
F -2.378 -2.614 -2.650
Ge 0.000 0.000 0.000
Na -0.966 -3.555 -0.950
Na -3.259 -4.815 0.759
Ni -2.338 -1.283 1.741

=====

18
Lattice="-3.940 -2.806 -2.307 0.238 0.393 5.339 -5.568 8.104 -0.348" Properties=species:S:1:pos:R:3 comment="NaNiGeF6, optimized geometry, DFT PBE with a Hubbard U" final_energy_ev_per_atom=-4.463 pbc="T T T"
Ge -5.331 5.404 2.529
Ge -3.939 0.286 0.154
F -4.527 1.124 -1.595
F -4.643 7.218 3.114
F -6.122 6.103 0.799
F -5.788 0.368 0.980
F -7.068 5.572 3.558
F -2.202 0.119 -0.875
F -3.148 -0.413 1.884
F -3.482 5.322 1.703
F -5.926 3.644 1.721
F -4.626 -1.528 -0.431
F -3.344 2.047 0.962
F -4.743 4.567 4.278
Ni -6.723 4.338 -0.020
Ni -2.547 1.353 2.703
Na -2.784 4.052 -0.174
Na 0.000 0.000 0.000